The following is a PBE calculation of a relaxed structure of Cd2AgSeO, from the Alexandria database.

Cell lengths 4.5301, 4.5301, 4.8699 Å; angles 90.00, 90.00, 90.00 degrees
Fractional positions:
Cd: 0.0000 0.5000 0.0000
Cd: 0.5000 0.0000 0.0000
Ag: 0.0000 0.0000 0.5000
Se: 0.5000 0.5000 0.5000
O: 0.5000 0.5000 0.0000

Its crystal system is tetragonal.

The following is a PBE calculation of a relaxed structure of CdAg2SeO4, from the Alexandria database.

Cell lengths 6.6682, 6.6682, 6.8469 Å; angles 109.66, 109.66, 106.45 degrees
Fractional positions:
Cd: 0.0000 0.5000 0.0000
Cd: 0.5000 0.0000 0.5000
Ag: 0.0000 0.0000 0.0000
Ag: 0.0000 0.0000 0.5000
Ag: 0.0000 0.5000 0.5000
Ag: 0.5000 0.0000 0.0000
Se: 0.5000 0.5000 0.0000
Se: 0.5000 0.5000 0.5000
O: 0.1766 0.2578 0.8689
O: 0.2578 0.1766 0.3689
O: 0.2581 0.6142 0.4042
O: 0.3858 0.7419 0.0958
O: 0.6142 0.2581 0.9042
O: 0.7419 0.3858 0.5958
O: 0.7422 0.8234 0.6311
O: 0.8234 0.7422 0.1311

Its crystal system is monoclinic.

The following is a PBE calculation of a relaxed structure of CdSiAg2O4, from the Alexandria database.

Cell lengths 5.2587, 5.2587, 5.2587 Å; angles 111.48, 111.48, 105.53 degrees
Fractional positions:
Cd: 0.0000 0.0000 0.0000
Si: 0.2500 0.7500 0.5000
Ag: 0.5000 0.5000 0.0000
Ag: 0.7500 0.2500 0.5000
O: 0.2304 0.7512 0.1781
O: 0.2488 0.4268 0.4792
O: 0.5732 0.0523 0.8219
O: 0.9477 0.7696 0.5208

Its crystal system is tetragonal.

The following is a PBE calculation of a relaxed structure of CdSiAg2O, from the Alexandria database.

Cell lengths 5.2260, 5.2260, 4.7115 Å; angles 90.00, 90.00, 90.00 degrees
Fractional positions:
Cd: 0.0000 0.0000 0.0000
Si: 0.0000 0.0000 0.5000
Ag: 0.0000 0.5000 0.0000
Ag: 0.5000 0.0000 0.0000
O: 0.5000 0.5000 0.5000

Its crystal system is tetragonal.

The following is a PBE calculation of a relaxed structure of Cd2SiAgO4, from the Alexandria database.

Cell lengths 5.7452, 5.7452, 5.7452 Å; angles 125.84, 125.84, 80.15 degrees
Fractional positions:
Cd: 0.2500 0.7500 0.5000
Cd: 0.7500 0.2500 0.5000
Si: 0.0000 0.0000 0.0000
Ag: 0.5000 0.5000 0.0000
O: 0.0756 0.7068 0.0000
O: 0.2932 0.2932 0.3687
O: 0.7068 0.0756 0.0000
O: 0.9244 0.9244 0.6313

Its crystal system is tetragonal.

The following is a PBE calculation of a relaxed structure of SrCdAgO3, from the Alexandria database.

Cell lengths 5.8457, 3.4619, 9.0082 Å; angles 90.00, 104.40, 90.00 degrees
Fractional positions:
Sr: 0.1414 0.2500 0.1937
Sr: 0.8586 0.7500 0.8063
Cd: 0.2677 0.7500 0.5551
Cd: 0.7323 0.2500 0.4449
Ag: 0.3883 0.2500 0.8528
Ag: 0.6117 0.7500 0.1472
O: 0.0605 0.2500 0.6626
O: 0.2452 0.7500 0.0064
O: 0.4483 0.7500 0.3507
O: 0.5517 0.2500 0.6493
O: 0.7548 0.2500 0.9936
O: 0.9395 0.7500 0.3374

Its crystal system is monoclinic.

The following is a PBE calculation of a relaxed structure of Sr2CdAgO5, from the Alexandria database.

Cell lengths 7.2763, 7.2763, 10.8426 Å; angles 90.00, 90.00, 152.22 degrees
Fractional positions:
Sr: 0.1010 0.8990 0.5000
Sr: 0.1452 0.8548 0.1135
Sr: 0.8548 0.1452 0.6135
Sr: 0.8990 0.1010 0.0000
Cd: 0.2153 0.7847 0.8354
Cd: 0.7847 0.2153 0.3354
Ag: 0.4734 0.5266 0.2659
Ag: 0.5266 0.4734 0.7659
O: 0.0558 0.9442 0.8856
O: 0.2726 0.7274 0.4778
O: 0.3327 0.6673 0.1988
O: 0.3823 0.6177 0.8108
O: 0.4855 0.5145 0.5853
O: 0.5145 0.4855 0.0853
O: 0.6177 0.3823 0.3108
O: 0.6673 0.3327 0.6988
O: 0.7274 0.2726 0.9778
O: 0.9442 0.0558 0.3856

Its crystal system is orthorhombic.

The following is a PBE calculation of a relaxed structure of Cd2Ag2TeO6, from the Alexandria database.

Cell lengths 5.8007, 5.8007, 6.3769 Å; angles 92.31, 92.31, 119.89 degrees
Fractional positions:
Cd: 0.1633 0.8367 0.0000
Cd: 0.8367 0.1633 0.0000
Ag: 0.3518 0.6482 0.5000
Ag: 0.6482 0.3518 0.5000
Te: 0.5000 0.5000 0.0000
O: 0.2038 0.2038 0.8366
O: 0.2336 0.5243 0.1753
O: 0.4757 0.7664 0.8247
O: 0.5243 0.2336 0.1753
O: 0.7664 0.4757 0.8247
O: 0.7962 0.7962 0.1634

Its crystal system is monoclinic.

The following is a PBE calculation of a relaxed structure of Cd2AgTeO, from the Alexandria database.

Cell lengths 4.6977, 4.6977, 4.7554 Å; angles 90.00, 90.00, 90.00 degrees
Fractional positions:
Cd: 0.0000 0.5000 0.0000
Cd: 0.5000 0.0000 0.0000
Ag: 0.0000 0.0000 0.5000
Te: 0.5000 0.5000 0.5000
O: 0.0000 0.0000 0.0000

Its crystal system is tetragonal.

The following is a PBE calculation of a relaxed structure of Cd2AgTeO6, from the Alexandria database.

Cell lengths 5.4483, 5.6444, 5.8184 Å; angles 115.67, 117.56, 90.20 degrees
Fractional positions:
Cd: 0.0000 0.0000 0.0000
Cd: 0.4995 0.5392 0.0316
Ag: 0.7286 0.1825 0.4791
Te: 0.2166 0.6542 0.4556
O: 0.1184 0.4115 0.5806
O: 0.3289 0.8721 0.3102
O: 0.4164 0.3853 0.2972
O: 0.5469 0.8447 0.8547
O: 0.8916 0.4238 0.0516
O: 0.9689 0.8765 0.5584

Its crystal system is triclinic.

The following is a PBE calculation of a relaxed structure of TiCd2AgO4, from the Alexandria database.

Cell lengths 6.0053, 6.0053, 6.0053 Å; angles 128.16, 128.16, 76.36 degrees
Fractional positions:
Ti: 0.0000 0.0000 0.0000
Cd: 0.2500 0.7500 0.5000
Cd: 0.7500 0.2500 0.5000
Ag: 0.5000 0.5000 0.0000
O: 0.0870 0.6834 0.0000
O: 0.3166 0.3166 0.4036
O: 0.6834 0.0870 0.0000
O: 0.9130 0.9130 0.5964

Its crystal system is tetragonal.

The following is a PBE calculation of a relaxed structure of Ti3CdAg2O8, from the Alexandria database.

Cell lengths 6.6617, 6.6617, 6.6617 Å; angles 54.35, 54.35, 54.35 degrees
Fractional positions:
Ti: 0.0037 0.4982 0.4982
Ti: 0.4982 0.0037 0.4982
Ti: 0.4982 0.4982 0.0037
Cd: 0.8719 0.8719 0.8719
Ag: 0.1350 0.1350 0.1350
Ag: 0.4988 0.4988 0.4988
O: 0.2393 0.2393 0.6918
O: 0.2393 0.6918 0.2393
O: 0.2683 0.2683 0.2683
O: 0.3020 0.7571 0.7571
O: 0.6918 0.2393 0.2393
O: 0.7327 0.7327 0.7327
O: 0.7571 0.3020 0.7571
O: 0.7571 0.7571 0.3020

Its crystal system is trigonal.

The following is a PBE calculation of a relaxed structure of TlCd2AgO4, from the Alexandria database.

Cell lengths 6.8952, 6.8952, 6.8192 Å; angles 119.58, 119.58, 91.33 degrees
Fractional positions:
Tl: 0.0000 0.5000 0.0000
Tl: 0.5000 0.0000 0.5000
Cd: 0.0000 0.0000 0.0000
Cd: 0.0000 0.0000 0.5000
Cd: 0.0000 0.5000 0.5000
Cd: 0.5000 0.0000 0.0000
Ag: 0.5000 0.5000 0.0000
Ag: 0.5000 0.5000 0.5000
O: 0.2106 0.2638 0.9866
O: 0.2383 0.7613 0.9839
O: 0.2387 0.7617 0.5161
O: 0.2638 0.2106 0.4866
O: 0.7362 0.7894 0.5134
O: 0.7613 0.2383 0.4839
O: 0.7617 0.2387 0.0161
O: 0.7894 0.7362 0.0134

Its crystal system is monoclinic.

The following is a PBE calculation of a relaxed structure of U2CdAgO8, from the Alexandria database.

Cell lengths 6.4768, 6.4768, 6.4768 Å; angles 130.82, 130.82, 72.09 degrees
Fractional positions:
U: 0.0000 0.0000 0.0000
U: 0.7500 0.2500 0.5000
Cd: 0.2500 0.7500 0.5000
Ag: 0.5000 0.5000 0.0000
O: 0.0960 0.6247 0.9730
O: 0.0973 0.1224 0.4698
O: 0.3725 0.9027 0.0251
O: 0.3753 0.3483 0.4714
O: 0.6517 0.1231 0.0270
O: 0.6526 0.6275 0.5302
O: 0.8769 0.9040 0.5286
O: 0.8776 0.3474 0.9749

Its crystal system is tetragonal.

The following is a PBE calculation of a relaxed structure of UCd2AgO6, from the Alexandria database.

Cell lengths 6.2284, 6.2284, 5.4043 Å; angles 113.97, 113.97, 56.14 degrees
Fractional positions:
U: 0.0000 0.0000 0.0000
Cd: 0.2483 0.2483 0.6743
Cd: 0.7517 0.7517 0.3257
Ag: 0.5000 0.5000 0.5000
O: 0.1624 0.6540 0.6666
O: 0.1739 0.1739 0.9845
O: 0.3460 0.8376 0.3334
O: 0.6540 0.1624 0.6666
O: 0.8261 0.8261 0.0155
O: 0.8376 0.3460 0.3334

Its crystal system is monoclinic.

| no. | uncorrected formation energy (eV/atom) | magnetic moment (μB per cell) |
| --- | --- | --- |
| 1 | -0.010 | 0.000 |
| 2 | -0.379 | 0.000 |
| 3 | -1.268 | 0.000 |
| 4 | 1.278 | 0.000 |
| 5 | -1.422 | 0.000 |
| 6 | -1.224 | 1.302 |
| 7 | -1.366 | 1.939 |
| 8 | -0.815 | 0.000 |
| 9 | -0.244 | 0.000 |
| 10 | -0.834 | 0.943 |
| 11 | -1.487 | 0.000 |
| 12 | -2.022 | 0.000 |
| 13 | -0.657 | 0.000 |
| 14 | -2.092 | 0.000 |
| 15 | -1.650 | 0.613 |